Ce2In5Au | PBE | optimized geometry

Calculated values
**Symmetry**: Pbam, No. 55
**DOS at the Fermi energy**: 13.7 states/eV/f.u.
**Formation energy from the elements**: -402 meV/atom

a b c (Å): 4.669 6.585 13.165
angles (deg): 90.00 90.00 90.00
Element x y z (fractional)
Ce 0.500 0.251 0.625
Ce 0.500 0.749 0.375
Ce 0.500 0.249 0.125
Ce 0.500 0.751 0.875
In 0.000 0.000 0.000
In 0.000 0.500 0.500
In 0.000 0.495 0.756
In 0.000 0.505 0.244
In 0.000 0.005 0.256
In 0.000 0.995 0.744
In 0.500 0.255 0.877
In 0.500 0.745 0.123
In 0.500 0.245 0.377
In 0.500 0.755 0.623
Au 0.000 0.000 0.500
Au 0.000 0.500 0.000